A plane-wave DFT calculation with PBE was carried out for HfZr2Ru2 after structural relaxation.

The structure in extended XYZ format:
```
5
Lattice="1.592 -9.722 0.000 1.592 9.722 0.000 0.000 0.000 3.156" Properties=species:S:1:pos:R:3 pbc="T T T"
Hf 0.000 0.000 0.000
Zr 1.592 6.383 0.000
Zr 1.592 -6.383 0.000
Ru 1.592 1.654 1.578
Ru 1.592 -1.654 1.578
```

Properties
The relative energy among the computed polymorphs is 0.000 eV per atom. As for the space-group type: Cmmm. For the formation energy, the calculation gives -0.417 eV per atom.


A plane-wave DFT calculation with PBE was carried out for Hf3ZrRu2 after structural relaxation.

The structure in extended XYZ format:
```
6
Lattice="3.250 0.000 0.000 0.000 3.250 0.000 0.000 0.000 10.705" Properties=species:S:1:pos:R:3 pbc="T T T"
Hf 0.000 0.000 0.000
Hf 0.000 0.000 3.233
Hf 0.000 0.000 7.472
Zr 1.625 1.625 5.352
Ru 1.625 1.625 1.619
Ru 1.625 1.625 9.086
```

Properties
As for the space-group type: P4/mmm. For the formation energy, the calculation gives -0.528 eV per atom.


A plane-wave DFT calculation with PBE was carried out for HfZrRu3 after structural relaxation.

The structure in extended XYZ format:
```
5
Lattice="4.694 0.000 0.000 0.000 4.694 0.000 0.000 0.000 4.694" Properties=species:S:1:pos:R:3 pbc="T T T"
Hf 0.000 0.000 0.000
Zr 2.347 2.347 2.347
Ru 0.000 0.000 2.347
Ru 0.000 2.347 0.000
Ru 2.347 0.000 0.000
```

Properties
The relative energy among the computed polymorphs is 0.000 eV per atom. As for the space-group type: Pm-3m. For the formation energy, the calculation gives 0.939 eV per atom.


A plane-wave DFT calculation with PBE was carried out for Hf4ZrRu5 after structural relaxation.

The structure in extended XYZ format:
```
10
Lattice="3.246 0.000 0.000 0.000 3.246 0.000 0.000 0.000 16.264" Properties=species:S:1:pos:R:3 pbc="T T T"
Hf 0.000 0.000 1.623
Hf 0.000 0.000 4.867
Hf 0.000 0.000 11.397
Hf 0.000 0.000 14.641
Zr 0.000 0.000 8.132
Ru 1.623 1.623 0.000
Ru 1.623 1.623 3.237
Ru 1.623 1.623 6.469
Ru 1.623 1.623 9.795
Ru 1.623 1.623 13.027
```

Properties
As for the space-group type: P4/mmm. For the formation energy, the calculation gives -0.779 eV per atom.


A plane-wave DFT calculation with PBE was carried out for Hf5S2 after structural relaxation.

The structure in extended XYZ format:
```
14
Lattice="7.578 -2.918 0.000 7.578 2.918 0.000 -0.720 0.000 6.066" Properties=species:S:1:pos:R:3 pbc="T T T"
Hf 3.179 0.749 1.719
Hf 7.038 2.339 4.550
Hf 6.025 0.402 0.481
Hf 2.819 -0.749 4.752
Hf 5.665 -0.402 3.514
Hf 8.771 0.402 2.552
Hf 11.617 0.749 1.314
Hf 8.411 -0.402 5.585
Hf 7.398 -2.339 1.517
Hf 11.257 -0.749 4.347
S 5.509 1.941 2.469
S 9.287 1.941 0.564
S 5.149 -1.941 5.502
S 8.927 -1.941 3.597
```

Properties
As for the space-group type: C2/c. For the uncorrected formation energy, the calculation gives -0.76 eV per atom.


A plane-wave DFT calculation with PBE was carried out for HfS8 after structural relaxation.

The structure in extended XYZ format:
```
9
Lattice="-5.144 5.144 1.932 5.144 -5.144 1.932 5.144 5.144 -1.932" Properties=species:S:1:pos:R:3 pbc="T T T"
Hf 0.000 0.000 0.000
S 4.071 0.000 0.000
S 6.216 0.000 0.000
S 3.831 3.831 0.000
S 1.312 -1.312 1.932
S 0.000 4.071 0.000
S 0.000 6.216 0.000
S -1.312 1.312 1.932
S 1.312 1.312 1.932
```

Properties
As for the space-group type: I4/mmm. For the uncorrected formation energy, the calculation gives 0.33 eV per atom.


A plane-wave DFT calculation with PBE was carried out for Hf2S3 after structural relaxation.

The structure in extended XYZ format:
```
10
Lattice="6.853 0.000 0.000 0.000 3.453 0.000 -0.827 0.000 8.171" Properties=species:S:1:pos:R:3 pbc="T T T"
Hf 0.445 0.863 2.630
Hf 1.807 2.590 6.982
Hf 4.219 0.863 1.189
Hf 5.581 2.590 5.541
S -0.042 0.863 6.992
S 1.103 2.590 4.410
S 2.329 2.590 1.363
S 3.698 0.863 6.808
S 4.924 0.863 3.761
S 6.069 2.590 1.179
```

Properties
As for the space-group type: P2_1/m. For the uncorrected formation energy, the calculation gives -1.42 eV per atom.


A plane-wave DFT calculation with PBE was carried out for HfS2 after structural relaxation.

The structure in extended XYZ format:
```
3
Lattice="3.646 0.000 0.000 -1.823 3.157 0.000 0.000 0.000 6.615" Properties=species:S:1:pos:R:3 pbc="T T T"
Hf 0.000 0.000 0.000
S 0.000 2.105 1.445
S 1.823 1.052 5.170
```

Properties
As for the space-group type: P-3m1. For the uncorrected formation energy, the calculation gives -1.58 eV per atom.


Table of electronic total energy (eV/atom), in record order: -9.5378; -10.0210; -8.3266; -10.2533; -9.0526; -4.4492; -7.8786; -7.6528